RbIn3Ge | PBEsol | optimized geometry

```
5
Lattice="5.508 0.000 0.000 0.000 5.508 0.000 0.000 0.000 5.508" Properties=species:S:1:pos:R:3 pbc="T T T"
Rb 2.754 2.754 2.754
In 0.000 2.754 0.000
In 0.000 0.000 2.754
In 2.754 0.000 0.000
Ge 0.000 0.000 0.000
```

## Properties
- formation energy from the elements (eV per atom) = 0.20
- VASP energy (eV/atom) = -2.787
- space group = Pm-3m, No. 221
- ρ (g/cm³) = 4.995

=====

InGeRh3 | PBEsol | optimized geometry

```
5
Lattice="4.464 0.000 0.000 0.000 4.464 0.000 0.000 0.000 4.464" Properties=species:S:1:pos:R:3 pbc="T T T"
Rh 2.232 0.000 0.000
Rh 0.000 0.000 2.232
Rh 0.000 2.232 0.000
In 2.232 2.232 2.232
Ge 0.000 0.000 0.000
```

## Properties
- formation energy from the elements (eV per atom) = 0.26
- VASP energy (eV/atom) = -6.211
- space group = Pm-3m, No. 221
- ρ (g/cm³) = 9.260

=====

Tb4InGe4Rh | PBEsol | optimized geometry

```
20
Lattice="4.216 0.000 0.000 0.000 10.198 -0.002 -2.108 -2.607 9.710" Properties=species:S:1:pos:R:3 pbc="T T T"
Ge 2.108 3.740 6.893
Ge 0.000 1.242 2.589
Ge 0.000 7.644 1.214
Ge 2.108 -0.042 5.919
Ge 2.108 6.348 7.119
Ge 0.000 3.851 2.815
Ge 2.108 -0.053 8.494
Ge 0.000 7.633 3.789
In 0.000 5.099 -0.001
In 0.000 0.000 0.000
Tb 0.000 -1.855 7.210
Tb 2.108 9.446 2.498
Tb 0.000 1.731 7.240
Tb 0.000 5.015 8.890
Tb 2.108 2.355 4.301
Tb 0.000 5.236 5.407
Tb 2.108 2.576 0.818
Tb 2.108 5.860 2.467
Rh 0.000 -0.192 4.670
Rh 2.108 7.783 5.038
```

## Properties
- formation energy from the elements (eV per atom) = -0.91
- VASP energy (eV/atom) = -6.002
- space group = C2/m, No. 12
- ρ (g/cm³) = 9.101

=====

ScInGe2Ru | PBEsol | optimized geometry

```
5
Lattice="-3.807 3.015 0.778 -1.404 -0.566 -4.679 -2.951 -4.081 1.379" Properties=species:S:1:pos:R:3 pbc="T T T"
Ru -4.081 -0.816 -1.261
Ge -1.903 1.508 0.389
Ge -0.702 -0.283 -2.340
In 0.000 0.000 0.000
Sc -1.475 -2.040 0.690
```

## Properties
- formation energy from the elements (eV per atom) = 1.51
- VASP energy (eV/atom) = -4.422
- space group = P4/mmm, No. 123
- ρ (g/cm³) = 5.340